1.
Density functional theory data (GGA-PBE) for LaSm4Er2 after structural relaxation.

Values from the calculation:
Energy above the most stable polymorph in this dataset = 0.045 eV/atom
Energy relative to the elements = 120 meV per atom

The structure in CIF format:
```
data_LaSm4Er2
_chemical_formula_sum 'La2 Sm8 Er4'
_cell_length_a 6.199
_cell_length_b 6.641
_cell_length_c 11.669
_cell_angle_alpha 90.00
_cell_angle_beta 104.08
_cell_angle_gamma 90.00
_symmetry_space_group_name_H-M 'P 1 21/m 1'
_symmetry_Int_Tables_number 11
loop_
_symmetry_equiv_pos_as_xyz
'x,y,z'
'-x,-y,-z'
'-x,y+1/2,-z'
'x,-y+1/2,z'
loop_
_atom_site_label
_atom_site_type_symbol
_atom_site_fract_x
_atom_site_fract_y
_atom_site_fract_z
La1 La 0.031 0.250 0.356
Sm1 Sm 0.151 0.250 0.658
Sm2 Sm 0.291 0.750 0.932
Sm3 Sm 0.357 0.507 0.212
Er1 Er 0.147 0.250 0.945
Er2 Er 0.399 0.750 0.500
```

***

2.
Density functional theory data (GGA-PBE) for BeCd2Co after structural relaxation.

Values from the calculation:
Energy relative to the elements = 240 meV per atom

The structure in CIF format:
```
data_BeCd2Co
_chemical_formula_sum 'Be2 Cd4 Co2'
_cell_length_a 10.044
_cell_length_b 3.014
_cell_length_c 4.388
_cell_angle_alpha 90.00
_cell_angle_beta 115.72
_cell_angle_gamma 90.00
_symmetry_space_group_name_H-M 'C 1 m 1'
_symmetry_Int_Tables_number 8
loop_
_symmetry_equiv_pos_as_xyz
'x,y,z'
'x,-y,z'
'x+1/2,y+1/2,z'
'x+1/2,-y+1/2,z'
loop_
_atom_site_label
_atom_site_type_symbol
_atom_site_fract_x
_atom_site_fract_y
_atom_site_fract_z
Be1 Be 0.000 0.000 0.000
Cd1 Cd 0.225 0.000 0.726
Cd2 Cd 0.438 0.000 0.439
Co1 Co 0.169 0.500 0.170
```

***

D(E_F) values (in states/eV/f.u.) by entry order: 10.7 1.7.
Calculated volume values (in Å³/atom) by entry order: 33.3 15.0.